#a
First-principles (PBE) data for an optimized crystal structure of AcSm2Pd, as listed in Alexandria via LeMat-Bulk.

Structure (CIF):
```
data_AcSm2Pd
_chemical_formula_sum 'Ac2 Sm4 Pd2'
_space_group_name_H-M_alt 'P 1 21/m 1'
_space_group_IT_number 11
_cell_length_a 3.967
_cell_length_b 10.156
_cell_length_c 6.535
_cell_angle_alpha 90.00
_cell_angle_beta 107.66
_cell_angle_gamma 90.00
loop_
_space_group_symop_operation_xyz
'x,y,z'
'-x,-y,-z'
'-x,y+1/2,-z'
'x,-y+1/2,z'
loop_
_atom_site_label
_atom_site_type_symbol
_atom_site_fract_x
_atom_site_fract_y
_atom_site_fract_z
_atom_site_occupancy
Ac1 Ac 0.076 0.250 0.150 1
Sm1 Sm 0.361 0.062 0.721 1
Pd1 Pd 0.225 0.750 0.451 1
```

Calculated values
DOS(E_F): 11.7 states/eV per cell

=====

#b
First-principles (PBE) data for an optimized crystal structure of AcSm2Pd, as listed in Alexandria via LeMat-Bulk.

Structure (CIF):
```
data_AcSm2Pd
_chemical_formula_sum 'Ac3 Sm6 Pd3'
_space_group_name_H-M_alt 'R 3 m'
_space_group_IT_number 160
_space_group_name_Hall 'R 3 -2"'
_cell_length_a 4.0770
_cell_length_b 4.0770
_cell_length_c 28.4912
_cell_angle_alpha 90.00
_cell_angle_beta 90.00
_cell_angle_gamma 120.00
loop_
_atom_site_label
_atom_site_type_symbol
_atom_site_fract_x
_atom_site_fract_y
_atom_site_fract_z
_atom_site_occupancy
Ac1 Ac 0.0000 0.0000 0.0000 1
Sm1 Sm 0.0000 0.0000 0.2265 1
Sm2 Sm 0.0000 0.0000 0.4438 1
Pd1 Pd 0.0000 0.0000 0.8357 1
```

Calculated values
DOS(E_F): 14.9 states/eV per cell

=====

Q: Which of them is the least stable? A: #b.